4
Lattice="-2.229 -2.030 -2.289 -2.712 -3.833 2.651 -4.715 2.436 -0.957" Properties=species:S:1:pos:R:3 comment="Mg2SeBr, optimized geometry, DFT PBEsol" formation_energy_uncorrected_ev_per_atom=-0.7130 relative_energy_ev_per_atom=0.000 spacegroup="No. 12" energy_ev_per_atom=-3.002 pbc="T T T"
Br -3.714 -0.699 0.847
Mg -2.358 1.218 -0.479
Mg -1.356 -1.917 1.326
Se 0.000 0.000 0.000

---

4
Lattice="3.222 0.000 0.000 0.000 3.222 0.000 0.000 0.000 10.296" Properties=species:S:1:pos:R:3 comment="MgSeBr2, optimized geometry, DFT PBEsol" formation_energy_uncorrected_ev_per_atom=-0.4320 relative_energy_ev_per_atom=0.274 spacegroup="No. 123" energy_ev_per_atom=-2.759 pbc="T T T"
Br 0.000 0.000 8.658
Br 0.000 0.000 1.638
Mg 1.611 1.611 0.000
Se 1.611 1.611 5.148

---

5
Lattice="5.590 0.000 0.000 0.000 5.657 0.000 0.000 0.000 5.657" Properties=species:S:1:pos:R:3 comment="SrMgSe2Br, optimized geometry, DFT PBEsol" formation_energy_uncorrected_ev_per_atom=-0.3490 spacegroup="No. 123" energy_ev_per_atom=-2.975 pbc="T T T"
Sr 0.000 0.000 0.000
Mg 2.795 2.829 2.829
Se 0.000 0.000 2.829
Se 0.000 2.829 0.000
Br 2.795 0.000 0.000

---

5
Lattice="-4.604 0.307 -0.873 -0.733 -4.533 2.268 -0.695 2.360 4.492" Properties=species:S:1:pos:R:3 comment="MgTcSeBr2, optimized geometry, DFT PBEsol" formation_energy_uncorrected_ev_per_atom=0.0236 relative_energy_ev_per_atom=0.000 spacegroup="No. 123" energy_ev_per_atom=-4.091 pbc="T T T"
Mg -3.016 -0.933 2.944
Se -2.302 0.154 -0.437
Tc 0.000 0.000 0.000
Br -0.347 1.180 2.246
Br -0.366 -2.267 1.134

---

5
Lattice="-0.538 -4.389 2.173 4.558 -1.249 -1.393 1.814 1.882 4.249" Properties=species:S:1:pos:R:3 comment="MgTiSe2Br, optimized geometry, DFT PBEsol" formation_energy_uncorrected_ev_per_atom=-0.6104 spacegroup="No. 123" energy_ev_per_atom=-4.532 pbc="T T T"
Mg 2.917 -1.878 2.515
Se 2.279 -0.624 -0.696
Se -0.269 -2.194 1.087
Br 0.907 0.941 2.125
Ti 0.000 0.000 0.000

---

5
Lattice="-1.712 2.079 4.343 -3.439 -3.755 0.442 3.371 -2.775 2.657" Properties=species:S:1:pos:R:3 comment="MgSiBr3, optimized geometry, DFT PBEsol" formation_energy_uncorrected_ev_per_atom=-0.3007 spacegroup="No. 221" energy_ev_per_atom=-2.916 pbc="T T T"
Si -0.890 -2.225 3.721
Mg 0.000 0.000 0.000
Br -1.719 -1.877 0.221
Br 1.685 -1.387 1.328
Br -0.856 1.040 2.172